# AcBiHAu

A geometry-optimized AcBiHAu structure (PBE, Alexandria).

Computed properties:
For the energy above the lowest structure with this stoichiometry, the calculation gives 0.0000 eV per atom. Its space-group type is No. 156. The calculation puts the total magnetization at 0.00 μB/f.u. For the total energy, the calculation gives -17.06 eV/cell.

Unit cell a=4.769 b=4.769 c=4.845 alpha=90.00 beta=90.00 gamma=120.00
Element x y z (fractional)
Ac1 0.000 0.000 0.000
Bi1 0.667 0.333 0.555
H1 0.333 0.667 0.005
Au1 0.333 0.667 0.369

---

# La3ScCo

A geometry-optimized La3ScCo structure (PBE, Alexandria).

Computed properties:
For the energy above the lowest structure with this stoichiometry, the calculation gives 0.0000 eV per atom. The value obtained for the calculated formation energy is 0.076 eV/atom. Its space-group type is No. 221. The calculation puts the total magnetization at 0.00 μB/f.u. For the total energy, the calculation gives -27.84 eV/cell.

Unit cell a=5.406 b=5.406 c=5.406 alpha=90.00 beta=90.00 gamma=90.00
Element x y z (fractional)
La1 0.000 0.000 0.500
La2 0.000 0.500 0.000
La3 0.500 0.000 0.000
Sc1 0.500 0.500 0.500
Co1 0.000 0.000 0.000

---

# TlSeSN2

A geometry-optimized TlSeSN2 structure (PBE, Alexandria).

Computed properties:
For the energy above the lowest structure with this stoichiometry, the calculation gives 0.0000 eV per atom. Its space-group type is No. 123. For the uncorrected formation energy, the calculation gives 1.3651 eV per atom. The calculation puts the total magnetization at 0.00 μB/f.u. For the total energy, the calculation gives -19.80 eV/cell.

Unit cell a=3.808 b=3.808 c=6.743 alpha=90.00 beta=90.00 gamma=90.00
Element x y z (fractional)
Tl1 0.000 0.000 0.000
Se1 0.500 0.500 0.500
S1 0.500 0.500 0.000
N1 0.000 0.500 0.500
N2 0.500 0.000 0.500

---

# Pm5Tl2Rh2

A geometry-optimized Pm5Tl2Rh2 structure (PBE, Alexandria).

Computed properties:
The value obtained for the calculated formation energy is -0.495 eV/atom. Its space-group type is No. 64. The calculation puts the total magnetization at 0.00 μB/f.u. For the total energy, the calculation gives -95.30 eV/cell.

Unit cell a=8.834 b=8.834 c=8.574 alpha=90.00 beta=90.00 gamma=48.79
Element x y z (fractional)
Pm1 0.000 0.000 0.000
Pm2 0.038 0.723 0.678
Pm3 0.223 0.538 0.178
Pm4 0.277 0.962 0.678
Pm5 0.462 0.777 0.178
Pm6 0.500 0.500 0.500
Pm7 0.538 0.223 0.822
Pm8 0.723 0.038 0.322
Pm9 0.777 0.462 0.822
Pm10 0.962 0.277 0.322
Tl1 0.215 0.215 0.000
Tl2 0.285 0.285 0.500
Tl3 0.715 0.715 0.500
Tl4 0.785 0.785 0.000
Rh1 0.134 0.866 0.377
Rh2 0.366 0.634 0.877
Rh3 0.634 0.366 0.123
Rh4 0.866 0.134 0.623

---

# In2SbAu8

A geometry-optimized In2SbAu8 structure (PBE, Alexandria).

Computed properties:
For the energy above the lowest structure with this stoichiometry, the calculation gives 0.0000 eV per atom. Its space-group type is No. 2. For the uncorrected formation energy, the calculation gives -0.0471 eV per atom. The calculation puts the total magnetization at 0.00 μB/f.u. For the total energy, the calculation gives -36.34 eV/cell.

Unit cell a=4.940 b=5.178 c=9.314 alpha=104.83 beta=90.59 gamma=98.45
Element x y z (fractional)
In1 0.235 0.281 0.016
In2 0.765 0.719 0.984
Sb1 0.500 0.000 0.500
Au1 0.052 0.297 0.591
Au2 0.153 0.868 0.748
Au3 0.291 0.832 0.155
Au4 0.399 0.414 0.328
Au5 0.601 0.586 0.672
Au6 0.709 0.168 0.845
Au7 0.847 0.132 0.252
Au8 0.948 0.703 0.409

---

# CaTa3

A geometry-optimized CaTa3 structure (PBE, Alexandria).

Computed properties:
The value obtained for the calculated formation energy is 0.403 eV/atom. Its space-group type is No. 65. The calculation puts the total magnetization at 0.00 μB/f.u. For the total energy, the calculation gives -35.95 eV/cell.

Unit cell a=2.944 b=2.944 c=10.171 alpha=90.00 beta=90.00 gamma=109.60
Element x y z (fractional)
Ca1 0.000 0.000 0.000
Ta1 0.000 0.000 0.500
Ta2 0.500 0.500 0.279
Ta3 0.500 0.500 0.721

---

# B2C

A geometry-optimized B2C structure (PBE, Alexandria).

Computed properties:
For the energy above the lowest structure with this stoichiometry, the calculation gives 0.3357 eV per atom. The value obtained for the calculated formation energy is 0.521 eV/atom. Its space-group type is No. 156. The calculation puts the total magnetization at 0.00 μB/f.u. For the total energy, the calculation gives -84.06 eV/cell.

Unit cell a=2.727 b=2.727 c=16.039 alpha=90.00 beta=90.00 gamma=120.00
Element x y z (fractional)
B1 0.000 0.000 0.000
B2 0.000 0.000 0.108
B3 0.000 0.000 0.542
B4 0.000 0.000 0.651
B5 0.333 0.667 0.134
B6 0.333 0.667 0.376
B7 0.333 0.667 0.850
B8 0.667 0.333 0.481
C1 0.333 0.667 0.653
C2 0.667 0.333 0.383
C3 0.667 0.333 0.863
C4 0.667 0.333 0.959

---

# TiGa2Cl6

A geometry-optimized TiGa2Cl6 structure (PBE, Alexandria).

Computed properties:
For the energy above the lowest structure with this stoichiometry, the calculation gives 0.0706 eV per atom. Its space-group type is No. 15. For the uncorrected formation energy, the calculation gives -1.1030 eV per atom. The calculation puts the total magnetization at 1.58 μB/f.u. For the total energy, the calculation gives -69.91 eV/cell.

Unit cell a=9.545 b=9.545 c=6.468 alpha=99.53 beta=99.53 gamma=70.06
Element x y z (fractional)
Ti1 0.059 0.941 0.750
Ti2 0.941 0.059 0.250
Ga1 0.328 0.510 0.722
Ga2 0.490 0.672 0.778
Ga3 0.510 0.328 0.222
Ga4 0.672 0.490 0.278
Cl1 0.000 0.177 0.609
Cl2 0.000 0.823 0.391
Cl3 0.111 0.663 0.848
Cl4 0.177 0.000 0.109
Cl5 0.280 0.403 0.369
Cl6 0.337 0.889 0.652
Cl7 0.403 0.280 0.869
Cl8 0.597 0.720 0.131
Cl9 0.663 0.111 0.348
Cl10 0.720 0.597 0.631
Cl11 0.823 0.000 0.891
Cl12 0.889 0.337 0.152

---

# LaBeFe2

A geometry-optimized LaBeFe2 structure (PBE, Alexandria).

Computed properties:
The value obtained for the calculated formation energy is 0.466 eV/atom. Its space-group type is No. 44. The calculation puts the total magnetization at 3.25 μB/f.u. For the total energy, the calculation gives -23.72 eV/cell.

Unit cell a=5.273 b=5.273 c=5.273 alpha=145.08 beta=131.71 gamma=60.96
Element x y z (fractional)
La1 0.000 0.000 0.000
Be1 0.284 0.784 0.500
Fe1 0.469 0.469 0.000
Fe2 0.720 0.220 0.500

---

# RbTa2Si2

A geometry-optimized RbTa2Si2 structure (PBE, Alexandria).

Computed properties:
For the energy above the lowest structure with this stoichiometry, the calculation gives 0.0000 eV per atom. Its space-group type is No. 127. For the uncorrected formation energy, the calculation gives 0.2374 eV per atom. The calculation puts the total magnetization at 0.00 μB/f.u. For the total energy, the calculation gives -68.66 eV/cell.

Unit cell a=8.327 b=8.327 c=2.808 alpha=90.00 beta=90.00 gamma=90.00
Element x y z (fractional)
Rb1 0.000 0.000 0.000
Rb2 0.500 0.500 0.000
Ta1 0.118 0.382 0.000
Ta2 0.382 0.882 0.000
Ta3 0.618 0.118 0.000
Ta4 0.882 0.618 0.000
Si1 0.166 0.666 0.500
Si2 0.334 0.166 0.500
Si3 0.666 0.834 0.500
Si4 0.834 0.334 0.500

---

# Mn2V4W

A geometry-optimized Mn2V4W structure (PBE, Alexandria).

Computed properties:
For the energy above the lowest structure with this stoichiometry, the calculation gives 0.0000 eV per atom. The value obtained for the calculated formation energy is 0.245 eV/atom. Its space-group type is No. 139. The calculation puts the total magnetization at 1.52 μB/f.u. For the total energy, the calculation gives -66.05 eV/cell.

Unit cell a=4.990 b=4.990 c=4.990 alpha=105.22 beta=105.22 gamma=118.35
Element x y z (fractional)
Mn1 0.250 0.750 0.500
Mn2 0.750 0.250 0.500
V1 0.197 0.197 0.395
V2 0.197 0.803 0.000
V3 0.803 0.197 0.000
V4 0.803 0.803 0.605
W1 0.500 0.500 0.000

---

# PmSm2TmSe4

A geometry-optimized PmSm2TmSe4 structure (PBE, Alexandria).

Computed properties:
Its space-group type is No. 10. For the uncorrected formation energy, the calculation gives -1.7780 eV per atom. The calculation puts the total magnetization at 0.00 μB/f.u. For the total energy, the calculation gives -46.82 eV/cell.

Unit cell a=7.180 b=4.080 c=7.242 alpha=90.00 beta=108.72 gamma=90.00
Element x y z (fractional)
Pm1 0.000 0.000 0.000
Sm1 0.500 0.000 0.500
Sm2 0.500 0.500 0.000
Tm1 0.000 0.500 0.500
Se1 0.240 0.000 0.739
Se2 0.246 0.500 0.257
Se3 0.754 0.500 0.743
Se4 0.760 0.000 0.261

---

# YSbAsSe2

A geometry-optimized YSbAsSe2 structure (PBE, Alexandria).

Computed properties:
For the energy above the lowest structure with this stoichiometry, the calculation gives 0.0000 eV per atom. Its space-group type is No. 123. For the uncorrected formation energy, the calculation gives -0.0641 eV per atom. The calculation puts the total magnetization at 0.00 μB/f.u. For the total energy, the calculation gives -22.53 eV/cell.

Unit cell a=5.228 b=5.228 c=5.224 alpha=90.00 beta=90.00 gamma=90.00
Element x y z (fractional)
Y1 0.000 0.000 0.000
Sb1 0.500 0.500 0.500
As1 0.500 0.500 0.000
Se1 0.000 0.500 0.500
Se2 0.500 0.000 0.500

---

# SrSc2Zn

A geometry-optimized SrSc2Zn structure (PBE, Alexandria).

Computed properties:
The value obtained for the calculated formation energy is 0.234 eV/atom. Its space-group type is No. 216. The calculation puts the total magnetization at 0.00 μB/f.u. For the total energy, the calculation gives -14.68 eV/cell.

Unit cell a=5.292 b=5.292 c=5.292 alpha=60.00 beta=60.00 gamma=60.00
Element x y z (fractional)
Sr1 0.000 0.000 0.000
Sc1 0.250 0.250 0.250
Sc2 0.500 0.500 0.500
Zn1 0.750 0.750 0.750

---

# MgPt2W

A geometry-optimized MgPt2W structure (PBE, Alexandria).

Computed properties:
The value obtained for the calculated formation energy is -0.510 eV/atom. Its space-group type is No. 123. The calculation puts the total magnetization at 0.00 μB/f.u. For the total energy, the calculation gives -28.67 eV/cell.

Unit cell a=2.831 b=2.831 c=7.861 alpha=90.00 beta=90.00 gamma=90.00
Element x y z (fractional)
Mg1 0.000 0.000 0.000
Pt1 0.500 0.500 0.254
Pt2 0.500 0.500 0.746
W1 0.000 0.000 0.500

---

# LiAsCSe2

A geometry-optimized LiAsCSe2 structure (PBE, Alexandria).

Computed properties:
For the energy above the lowest structure with this stoichiometry, the calculation gives 0.0000 eV per atom. Its space-group type is No. 123. For the uncorrected formation energy, the calculation gives 0.7507 eV per atom. The calculation puts the total magnetization at 0.00 μB/f.u. For the total energy, the calculation gives -19.00 eV/cell.

Unit cell a=4.619 b=4.619 c=4.204 alpha=90.00 beta=90.00 gamma=90.00
Element x y z (fractional)
Li1 0.000 0.000 0.000
As1 0.500 0.500 0.000
C1 0.500 0.500 0.500
Se1 0.000 0.500 0.500
Se2 0.500 0.000 0.500

---

# CsHfNi3

A geometry-optimized CsHfNi3 structure (PBE, Alexandria).

Computed properties:
For the energy above the lowest structure with this stoichiometry, the calculation gives 0.0000 eV per atom. The value obtained for the calculated formation energy is 0.990 eV/atom. Its space-group type is No. 221. The calculation puts the total magnetization at 0.00 μB/f.u. For the total energy, the calculation gives -23.20 eV/cell.

Unit cell a=4.950 b=4.950 c=4.950 alpha=90.00 beta=90.00 gamma=90.00
Element x y z (fractional)
Cs1 0.000 0.000 0.000
Hf1 0.500 0.500 0.500
Ni1 0.000 0.500 0.500
Ni2 0.500 0.000 0.500
Ni3 0.500 0.500 0.000

---

# Ag5Os

A geometry-optimized Ag5Os structure (PBE, Alexandria).

Computed properties:
For the energy above the lowest structure with this stoichiometry, the calculation gives 0.0000 eV per atom. The value obtained for the calculated formation energy is 0.401 eV/atom. Its space-group type is No. 38. The calculation puts the total magnetization at 0.00 μB/f.u. For the total energy, the calculation gives -23.08 eV/cell.

Unit cell a=4.828 b=7.833 c=7.833 alpha=20.22 beta=90.00 gamma=90.00
Element x y z (fractional)
Ag1 0.000 0.000 0.000
Ag2 0.000 0.328 0.328
Ag3 0.500 0.221 0.221
Ag4 0.500 0.559 0.559
Ag5 0.500 0.892 0.892
Os1 0.000 0.665 0.665

---

# InSbTe2O

A geometry-optimized InSbTe2O structure (PBE, Alexandria).

Computed properties:
For the energy above the lowest structure with this stoichiometry, the calculation gives 0.9893 eV per atom. Its space-group type is No. 123. For the uncorrected formation energy, the calculation gives 1.0302 eV per atom. The calculation puts the total magnetization at 1.70 μB/f.u. For the total energy, the calculation gives -12.95 eV/cell.

Unit cell a=5.687 b=5.687 c=5.677 alpha=90.00 beta=90.00 gamma=90.00
Element x y z (fractional)
In1 0.000 0.000 0.000
Sb1 0.000 0.000 0.500
Te1 0.000 0.500 0.000
Te2 0.500 0.000 0.000
O1 0.500 0.500 0.500

---

# HfNbPt

A geometry-optimized HfNbPt structure (PBE, Alexandria).

Computed properties:
The value obtained for the calculated formation energy is -0.594 eV/atom. Its space-group type is No. 14. The calculation puts the total magnetization at 0.00 μB/f.u. For the total energy, the calculation gives -111.38 eV/cell.

Unit cell a=7.370 b=5.411 c=5.765 alpha=90.00 beta=102.73 gamma=90.00
Element x y z (fractional)
Hf1 0.166 0.133 0.389
Hf2 0.166 0.367 0.889
Hf3 0.834 0.633 0.111
Hf4 0.834 0.867 0.611
Nb1 0.470 0.638 0.276
Nb2 0.470 0.862 0.776
Nb3 0.530 0.138 0.224
Nb4 0.530 0.362 0.724
Pt1 0.158 0.640 0.485
Pt2 0.158 0.860 0.985
Pt3 0.842 0.140 0.015
Pt4 0.842 0.360 0.515